--- 1 ---
This record from Alexandria describes a relaxed Li3BeI crystal. The functional is GGA-PBE.

Geometry as CIF:
```
data_Li3BeI
_chemical_formula_sum 'Li3 Be1 I1'
_cell_length_a 5.161
_cell_length_b 5.161
_cell_length_c 5.161
_cell_angle_alpha 90.00
_cell_angle_beta 90.00
_cell_angle_gamma 90.00
_symmetry_space_group_name_H-M 'P m -3 m'
_symmetry_Int_Tables_number 221
_symmetry_space_group_name_Hall '-P 4 2 3'
loop_
_atom_site_label
_atom_site_type_symbol
_atom_site_fract_x
_atom_site_fract_y
_atom_site_fract_z
Li1 Li 0.000 0.000 0.500
Be1 Be 0.500 0.500 0.500
I1 I 0.000 0.000 0.000
```

Calculated values
Crystal system   cubic
Total magnetic moment   0.0 μB per cell
DOS(E_F)   0.679 states/eV per atom

--- 2 ---
This record from Alexandria describes a relaxed Li3BeI crystal. The functional is GGA-PBE.

Geometry as CIF:
```
data_Li3BeI
_chemical_formula_sum 'Li3 Be1 I1'
_cell_length_a 4.851
_cell_length_b 4.851
_cell_length_c 4.851
_cell_angle_alpha 90.00
_cell_angle_beta 90.00
_cell_angle_gamma 90.00
_symmetry_space_group_name_H-M 'P m -3 m'
_symmetry_Int_Tables_number 221
_symmetry_space_group_name_Hall '-P 4 2 3'
loop_
_atom_site_label
_atom_site_type_symbol
_atom_site_fract_x
_atom_site_fract_y
_atom_site_fract_z
Li1 Li 0.000 0.000 0.500
Be1 Be 0.000 0.000 0.000
I1 I 0.500 0.500 0.500
```

Calculated values
Crystal system   cubic
Total magnetic moment   1.9 μB per cell
DOS(E_F)   0.699 states/eV per atom

Which structure is the most stable? The one labeled 2.

--- 1 ---
This record from Alexandria describes a relaxed LiBeI2 crystal. The functional is GGA-PBE.

Geometry as CIF:
```
data_LiBeI2
_chemical_formula_sum 'Li4 Be4 I8'
_cell_length_a 7.474
_cell_length_b 7.474
_cell_length_c 7.474
_cell_angle_alpha 90.00
_cell_angle_beta 90.00
_cell_angle_gamma 90.00
_symmetry_space_group_name_H-M 'F m -3 m'
_symmetry_Int_Tables_number 225
_symmetry_space_group_name_Hall '-F 4 2 3'
loop_
_atom_site_label
_atom_site_type_symbol
_atom_site_fract_x
_atom_site_fract_y
_atom_site_fract_z
Li1 Li 0.000 0.000 0.000
Be1 Be 0.000 0.000 0.500
I1 I 0.250 0.250 0.250
```

Calculated values
Crystal system   cubic
Total magnetic moment   0.0 μB per cell
DOS(E_F)   0.564 states/eV per atom

--- 2 ---
This record from Alexandria describes a relaxed LiBeI2 crystal. The functional is GGA-PBE.

Geometry as CIF:
```
data_LiBeI2
_chemical_formula_sum 'Li4 Be4 I8'
_cell_length_a 6.032
_cell_length_b 6.032
_cell_length_c 14.291
_cell_angle_alpha 90.00
_cell_angle_beta 90.00
_cell_angle_gamma 90.00
_symmetry_space_group_name_H-M 'I -4 2 d'
_symmetry_Int_Tables_number 122
_symmetry_space_group_name_Hall 'I -4 2bw'
loop_
_atom_site_label
_atom_site_type_symbol
_atom_site_fract_x
_atom_site_fract_y
_atom_site_fract_z
Li1 Li 0.000 0.000 0.000
Be1 Be 0.000 0.000 0.500
I1 I 0.220 0.250 0.625
```

Calculated values
Crystal system   tetragonal
Total magnetic moment   0.0 μB per cell
DOS(E_F)   0.442 states/eV per atom

Which structure is the most stable? The one labeled 2.

--- 1 ---
This record from Alexandria describes a relaxed LiBeIN2 crystal. The functional is GGA-PBE.

Geometry as CIF:
```
data_LiBeIN2
_chemical_formula_sum 'Li1 Be1 I1 N2'
_cell_length_a 3.667
_cell_length_b 3.667
_cell_length_c 5.948
_cell_angle_alpha 90.00
_cell_angle_beta 90.00
_cell_angle_gamma 90.00
_symmetry_space_group_name_H-M 'P 4/m m m'
_symmetry_Int_Tables_number 123
_symmetry_space_group_name_Hall '-P 4 2'
loop_
_atom_site_label
_atom_site_type_symbol
_atom_site_fract_x
_atom_site_fract_y
_atom_site_fract_z
Li1 Li 0.000 0.000 0.000
Be1 Be 0.500 0.500 0.500
I1 I 0.000 0.000 0.500
N1 N 0.000 0.500 0.000
```

Calculated values
Crystal system   tetragonal
Total magnetic moment   2.1 μB per cell
DOS(E_F)   0.468 states/eV per atom

--- 2 ---
This record from Alexandria describes a relaxed LiBeIN2 crystal. The functional is GGA-PBE.

Geometry as CIF:
```
data_LiBeIN2
_chemical_formula_sum 'Li1 Be1 I1 N2'
_cell_length_a 3.538
_cell_length_b 3.538
_cell_length_c 7.574
_cell_angle_alpha 90.00
_cell_angle_beta 90.00
_cell_angle_gamma 90.00
_symmetry_space_group_name_H-M 'P 4/m m m'
_symmetry_Int_Tables_number 123
_symmetry_space_group_name_Hall '-P 4 2'
loop_
_atom_site_label
_atom_site_type_symbol
_atom_site_fract_x
_atom_site_fract_y
_atom_site_fract_z
Li1 Li 0.000 0.000 0.000
Be1 Be 0.500 0.500 0.500
I1 I 0.500 0.500 0.000
N1 N 0.000 0.500 0.500
```

Calculated values
Crystal system   tetragonal
Total magnetic moment   1.7 μB per cell
DOS(E_F)   0.463 states/eV per atom

Which structure is the most stable? The one labeled 2.

--- 1 ---
This record from Alexandria describes a relaxed LiBeI2N crystal. The functional is GGA-PBE.

Geometry as CIF:
```
data_LiBeI2N
_chemical_formula_sum 'Li1 Be1 I2 N1'
_cell_length_a 5.679
_cell_length_b 5.679
_cell_length_c 3.255
_cell_angle_alpha 90.00
_cell_angle_beta 90.00
_cell_angle_gamma 90.00
_symmetry_space_group_name_H-M 'P 4/m m m'
_symmetry_Int_Tables_number 123
_symmetry_space_group_name_Hall '-P 4 2'
loop_
_atom_site_label
_atom_site_type_symbol
_atom_site_fract_x
_atom_site_fract_y
_atom_site_fract_z
Li1 Li 0.000 0.000 0.000
Be1 Be 0.500 0.500 0.500
I1 I 0.000 0.500 0.500
N1 N 0.500 0.500 0.000
```

Calculated values
Crystal system   tetragonal
Total magnetic moment   0.0 μB per cell
DOS(E_F)   0.725 states/eV per atom

--- 2 ---
This record from Alexandria describes a relaxed LiBeI2N crystal. The functional is GGA-PBE.

Geometry as CIF:
```
data_LiBeI2N
_chemical_formula_sum 'Li1 Be1 I2 N1'
_cell_length_a 5.431
_cell_length_b 5.431
_cell_length_c 3.918
_cell_angle_alpha 90.00
_cell_angle_beta 90.00
_cell_angle_gamma 90.00
_symmetry_space_group_name_H-M 'P 4/m m m'
_symmetry_Int_Tables_number 123
_symmetry_space_group_name_Hall '-P 4 2'
loop_
_atom_site_label
_atom_site_type_symbol
_atom_site_fract_x
_atom_site_fract_y
_atom_site_fract_z
Li1 Li 0.000 0.000 0.000
Be1 Be 0.500 0.500 0.500
I1 I 0.000 0.500 0.000
N1 N 0.000 0.000 0.500
```

Calculated values
Crystal system   tetragonal
Total magnetic moment   2.6 μB per cell
DOS(E_F)   0.348 states/eV per atom

Which structure is the most stable? The one labeled 1.

--- 1 ---
This record from Alexandria describes a relaxed LiBeSbI2 crystal. The functional is GGA-PBE.

Geometry as CIF:
```
data_LiBeSbI2
_chemical_formula_sum 'Li1 Be1 Sb1 I2'
_cell_length_a 5.359
_cell_length_b 5.359
_cell_length_c 5.236
_cell_angle_alpha 90.00
_cell_angle_beta 90.00
_cell_angle_gamma 90.00
_symmetry_space_group_name_H-M 'P 4/m m m'
_symmetry_Int_Tables_number 123
_symmetry_space_group_name_Hall '-P 4 2'
loop_
_atom_site_label
_atom_site_type_symbol
_atom_site_fract_x
_atom_site_fract_y
_atom_site_fract_z
Li1 Li 0.000 0.000 0.000
Be1 Be 0.500 0.500 0.500
Sb1 Sb 0.000 0.000 0.500
I1 I 0.000 0.500 0.000
```

Calculated values
Crystal system   tetragonal
Total magnetic moment   0.0 μB per cell
DOS(E_F)   1.026 states/eV per atom

--- 2 ---
This record from Alexandria describes a relaxed LiBeSbI2 crystal. The functional is GGA-PBE.

Geometry as CIF:
```
data_LiBeSbI2
_chemical_formula_sum 'Li1 Be1 Sb1 I2'
_cell_length_a 5.765
_cell_length_b 5.765
_cell_length_c 4.658
_cell_angle_alpha 90.00
_cell_angle_beta 90.00
_cell_angle_gamma 90.00
_symmetry_space_group_name_H-M 'P 4/m m m'
_symmetry_Int_Tables_number 123
_symmetry_space_group_name_Hall '-P 4 2'
loop_
_atom_site_label
_atom_site_type_symbol
_atom_site_fract_x
_atom_site_fract_y
_atom_site_fract_z
Li1 Li 0.000 0.000 0.000
Be1 Be 0.500 0.500 0.500
Sb1 Sb 0.500 0.500 0.000
I1 I 0.000 0.500 0.500
```

Calculated values
Crystal system   tetragonal
Total magnetic moment   0.0 μB per cell
DOS(E_F)   0.469 states/eV per atom

Which structure is the most stable? The one labeled 2.

--- 1 ---
This record from Alexandria describes a relaxed LiBeTeI2 crystal. The functional is GGA-PBE.

Geometry as CIF:
```
data_LiBeTeI2
_chemical_formula_sum 'Li1 Be1 Te1 I2'
_cell_length_a 5.383
_cell_length_b 5.383
_cell_length_c 5.257
_cell_angle_alpha 90.00
_cell_angle_beta 90.00
_cell_angle_gamma 90.00
_symmetry_space_group_name_H-M 'P 4/m m m'
_symmetry_Int_Tables_number 123
_symmetry_space_group_name_Hall '-P 4 2'
loop_
_atom_site_label
_atom_site_type_symbol
_atom_site_fract_x
_atom_site_fract_y
_atom_site_fract_z
Li1 Li 0.000 0.000 0.000
Be1 Be 0.500 0.500 0.500
Te1 Te 0.000 0.000 0.500
I1 I 0.000 0.500 0.000
```

Calculated values
Crystal system   tetragonal
Total magnetic moment   0.0 μB per cell
DOS(E_F)   1.407 states/eV per atom

--- 2 ---
This record from Alexandria describes a relaxed LiBeTeI2 crystal. The functional is GGA-PBE.

Geometry as CIF:
```
data_LiBeTeI2
_chemical_formula_sum 'Li1 Be1 Te1 I2'
_cell_length_a 5.590
_cell_length_b 5.590
_cell_length_c 4.915
_cell_angle_alpha 90.00
_cell_angle_beta 90.00
_cell_angle_gamma 90.00
_symmetry_space_group_name_H-M 'P 4/m m m'
_symmetry_Int_Tables_number 123
_symmetry_space_group_name_Hall '-P 4 2'
loop_
_atom_site_label
_atom_site_type_symbol
_atom_site_fract_x
_atom_site_fract_y
_atom_site_fract_z
Li1 Li 0.000 0.000 0.000
Be1 Be 0.500 0.500 0.500
Te1 Te 0.500 0.500 0.000
I1 I 0.000 0.500 0.500
```

Calculated values
Crystal system   tetragonal
Total magnetic moment   0.0 μB per cell
DOS(E_F)   0.438 states/eV per atom

Which structure is the most stable? The one labeled 2.